Entry from Alexandria via LeMat-Bulk: a relaxed Pr3Nd5Er crystal (PBE-GGA).

Cell and atoms, written as POSCAR:
```
Pr3Nd5Er
1.0
7.079 0.101 -0.548
2.035 6.781 -0.548
1.768 1.335 13.867
Pr Nd Er
6 10 2
direct
0.764 0.764 0.883
0.641 0.641 0.491
0.000 0.000 0.000
0.000 0.000 0.500
0.236 0.236 0.117
0.359 0.359 0.509
0.014 0.446 0.332
0.325 0.675 0.000
0.745 0.745 0.122
0.490 0.490 0.256
0.510 0.510 0.744
0.255 0.255 0.878
0.446 0.014 0.332
0.675 0.325 0.000
0.986 0.554 0.668
0.554 0.986 0.668
0.024 0.024 0.752
0.976 0.976 0.248
```

Its formation energy is 0.340 eV per atom. The calculation puts the density at 6.47 Mg/m³. The space-group type is C2/m, No. 12.



Entry from Alexandria via LeMat-Bulk: a relaxed Rb2SiAs crystal (PBE-GGA).

Cell and atoms, written as POSCAR:
```
Rb2SiAs
1.0
13.406 0.000 0.000
0.000 13.406 0.000
6.703 6.703 2.432
As Si Rb
2 2 4
direct
0.000 0.000 0.000
0.750 0.250 0.500
0.500 0.500 0.000
0.250 0.750 0.500
0.830 0.125 0.250
0.920 0.625 0.250
0.375 0.170 0.750
0.875 0.080 0.750
```

The calculation puts the density at 2.08 Mg/m³. The value obtained for the uncorrected formation energy is 0.044 eV/atom. The space-group type is I-42d, No. 122. The value obtained for the offset from the most stable computed form is 14.3 kJ per mole of atoms.



Entry from Alexandria via LeMat-Bulk: a relaxed KMn2Cl crystal (PBE-GGA).

Cell and atoms, written as POSCAR:
```
KMn2Cl
1.0
3.317 -0.006 0.000
-1.692 2.853 0.000
0.000 0.000 10.128
K Mn Cl
1 2 1
direct
0.500 0.500 0.750
0.000 0.000 0.048
0.000 0.000 0.452
0.500 0.500 0.250
```

The calculation puts the density at 3.20 Mg/m³. The value obtained for the uncorrected formation energy is 0.528 eV/atom. The space-group type is Cmmm, No. 65. The value obtained for the offset from the most stable computed form is 46.1 kJ per mole of atoms.



Entry from Alexandria via LeMat-Bulk: a relaxed CsNd2AuSe4 crystal (PBE-GGA).

Cell and atoms, written as POSCAR:
```
CsNd2AuSe4
1.0
4.337 0.000 0.000
-2.168 7.521 0.000
0.000 0.000 15.055
Cs Nd Au Se
2 4 2 8
direct
0.118 0.236 0.750
0.882 0.764 0.250
0.369 0.738 0.567
0.631 0.262 0.067
0.631 0.262 0.433
0.369 0.738 0.933
0.842 0.685 0.750
0.158 0.315 0.250
0.258 0.517 0.103
0.742 0.483 0.603
0.742 0.483 0.897
0.258 0.517 0.397
0.000 0.000 0.500
0.000 0.000 0.000
0.440 0.880 0.750
0.560 0.120 0.250
```

The calculation puts the density at 6.32 Mg/m³. The value obtained for the uncorrected formation energy is -1.451 eV/atom. The space-group type is Cmcm, No. 63.



Entry from Alexandria via LeMat-Bulk: a relaxed Li3Tl5Ga12 crystal (PBE-GGA).

Cell and atoms, written as POSCAR:
```
Li3Tl5Ga12
1.0
-3.031 -6.359 12.051
-7.261 -5.927 -10.344
13.658 -1.232 -2.604
Li Tl Ga
12 20 48
direct
0.750 0.375 0.125
0.875 0.750 0.125
0.375 0.750 0.625
0.250 0.125 0.375
0.875 0.125 0.250
0.375 0.625 0.250
0.625 0.375 0.750
0.125 0.875 0.750
0.750 0.875 0.625
0.625 0.250 0.375
0.125 0.250 0.875
0.250 0.625 0.875
0.125 0.375 0.250
0.000 0.500 0.000
0.000 0.000 0.000
0.375 0.250 0.125
0.500 0.000 0.500
0.500 0.500 0.000
0.125 0.750 0.375
0.750 0.125 0.875
0.750 0.625 0.375
0.375 0.125 0.750
0.625 0.875 0.250
0.500 0.500 0.500
0.500 0.000 0.000
0.000 0.000 0.500
0.250 0.375 0.625
0.250 0.875 0.125
0.000 0.500 0.500
0.875 0.250 0.625
0.625 0.750 0.875
0.875 0.625 0.750
0.739 0.153 0.085
0.346 0.585 0.432
0.915 0.347 0.261
0.585 0.239 0.153
0.586 0.739 0.654
0.915 0.568 0.154
0.346 0.761 0.414
0.068 0.914 0.153
0.568 0.915 0.654
0.739 0.586 0.154
0.761 0.415 0.347
0.846 0.932 0.085
0.153 0.739 0.585
0.347 0.432 0.086
0.086 0.932 0.347
0.414 0.153 0.568
0.086 0.154 0.239
0.415 0.654 0.068
0.846 0.914 0.261
0.153 0.414 0.068
0.347 0.915 0.761
0.568 0.653 0.414
0.932 0.846 0.585
0.761 0.346 0.914
0.432 0.347 0.586
0.068 0.154 0.415
0.239 0.654 0.086
0.154 0.086 0.739
0.653 0.085 0.239
0.847 0.586 0.932
0.585 0.346 0.932
0.586 0.847 0.432
0.914 0.846 0.761
0.914 0.068 0.653
0.847 0.261 0.415
0.154 0.068 0.915
0.653 0.568 0.914
0.432 0.085 0.346
0.261 0.414 0.846
0.239 0.585 0.653
0.932 0.086 0.847
0.654 0.239 0.586
0.415 0.761 0.847
0.085 0.432 0.846
0.414 0.261 0.346
0.085 0.653 0.739
0.654 0.415 0.568
0.261 0.847 0.915
```

Its formation energy is 0.189 eV per atom. The calculation puts the density at 5.96 Mg/m³. The space-group type is Ia-3d, No. 230.



Entry from Alexandria via LeMat-Bulk: a relaxed LaNiP2Rh2 crystal (PBE-GGA).

Cell and atoms, written as POSCAR:
```
LaNiP2Rh2
1.0
4.333 0.000 0.000
0.000 4.333 0.000
0.000 0.000 5.491
La Ni P Rh
1 1 2 2
direct
0.000 0.000 0.500
0.000 0.000 0.000
0.500 0.000 0.000
0.000 0.500 0.000
0.500 0.500 0.755
0.500 0.500 0.245
```

Its formation energy is -0.487 eV per atom. The calculation puts the density at 7.50 Mg/m³. The space-group type is P4/mmm, No. 123.



Entry from Alexandria via LeMat-Bulk: a relaxed Pd2PtPb crystal (PBE-GGA).

Cell and atoms, written as POSCAR:
```
Pd2PtPb
1.0
0.000 3.270 3.270
3.270 0.000 3.270
3.270 3.270 0.000
Pb Pd Pt
1 2 1
direct
0.500 0.500 0.500
0.250 0.250 0.250
0.750 0.750 0.750
0.000 0.000 0.000
```

Its formation energy is -0.136 eV per atom. The calculation puts the density at 14.60 Mg/m³. The space-group type is Fm-3m, No. 225. The value obtained for the offset from the most stable computed form is 10.0 kJ per mole of atoms.



Entry from Alexandria via LeMat-Bulk: a relaxed PmSiIr2 crystal (PBE-GGA).

Cell and atoms, written as POSCAR:
```
PmSiIr2
1.0
-2.861 0.347 -0.859
-0.861 0.034 2.881
0.849 7.405 0.165
Si Ir Pm
1 2 1
direct
0.500 0.500 0.000
0.000 0.000 0.809
0.000 0.000 0.191
0.500 0.500 0.500
```

The calculation puts the density at 13.73 Mg/m³. The value obtained for the uncorrected formation energy is -0.535 eV/atom. The space-group type is P4/mmm, No. 123. The value obtained for the offset from the most stable computed form is 20.4 kJ per mole of atoms.